Entry 1:
A geometry-optimized BaVCl2 structure, computed with PBE.

Geometry as POSCAR:
```
BaVCl2
1.0
2.583 1.492 6.727
-2.583 1.492 6.727
0.000 -2.983 6.727
Ba V Cl
1 1 2
direct
0.000 0.000 0.000 Ba
0.500 0.500 0.500 V
0.382 0.382 0.382 Cl
0.618 0.618 0.618 Cl
```

Computed properties:
Magnetization = 4.30 μB/f.u.
Space group = R-3m, No. 166
Energy above the most stable polymorph in this dataset = 0.0 meV/atom
Uncorrected formation energy = -0.857 eV/atom

---

Entry 2:
A geometry-optimized BaV3Cl structure, computed with PBE.

Geometry as POSCAR:
```
BaV3Cl
1.0
4.656 0.000 0.000
0.000 4.656 0.000
0.000 0.000 4.656
Ba V Cl
1 3 1
direct
0.000 0.000 0.000 Ba
0.000 0.500 0.500 V
0.500 0.000 0.500 V
0.500 0.500 0.000 V
0.500 0.500 0.500 Cl
```

Computed properties:
Magnetization = 5.36 μB/f.u.
Space group = Pm-3m, No. 221
Energy above the most stable polymorph in this dataset = 0.0 meV/atom
Uncorrected formation energy = 0.920 eV/atom

---

Entry 3:
A geometry-optimized BaVCl6 structure, computed with PBE.

Geometry as POSCAR:
```
BaVCl6
1.0
3.261 1.883 6.035
-3.261 1.883 6.035
0.000 -3.766 6.035
Ba V Cl
1 1 6
direct
0.000 0.000 0.000 Ba
0.500 0.500 0.500 V
0.094 0.590 0.590 Cl
0.410 0.410 0.906 Cl
0.410 0.906 0.410 Cl
0.590 0.094 0.590 Cl
0.590 0.590 0.094 Cl
0.906 0.410 0.410 Cl
```

Computed properties:
Magnetization = 1.00 μB/f.u.
Space group = R-3m, No. 166
Uncorrected formation energy = -1.510 eV/atom

---

Entry 4:
A geometry-optimized BaVCl2 structure, computed with PBE.

Geometry as POSCAR:
```
BaVCl2
1.0
-2.798 2.798 7.925
2.798 -2.798 7.925
2.798 2.798 -7.925
Ba V Cl
2 2 4
direct
0.000 0.000 0.000 Ba
0.750 0.250 0.500 Ba
0.250 0.750 0.500 V
0.500 0.500 0.000 V
0.210 0.625 0.085 Cl
0.375 0.460 0.585 Cl
0.540 0.125 0.915 Cl
0.875 0.790 0.415 Cl
```

Computed properties:
Magnetization = 4.84 μB/f.u.
Space group = I-42d, No. 122
Energy above the most stable polymorph in this dataset = 43.8 meV/atom
Uncorrected formation energy = -0.813 eV/atom

---

Entry 5:
A geometry-optimized BaV3Cl structure, computed with PBE.

Geometry as POSCAR:
```
BaV3Cl
1.0
5.135 0.000 0.000
0.000 5.135 0.000
0.000 0.000 5.135
Ba V Cl
1 3 1
direct
0.000 0.000 0.000 Ba
0.000 0.000 0.500 V
0.000 0.500 0.000 V
0.500 0.000 0.000 V
0.500 0.500 0.500 Cl
```

Computed properties:
Magnetization = 7.71 μB/f.u.
Space group = Pm-3m, No. 221
Energy above the most stable polymorph in this dataset = 1554.7 meV/atom
Uncorrected formation energy = 2.475 eV/atom

---

Entry 6:
A geometry-optimized Ba2VCl structure, computed with PBE.

Geometry as POSCAR:
```
Ba2VCl
1.0
-4.321 4.321 4.613
4.321 -4.321 4.613
4.321 4.321 -4.613
Ba V Cl
4 2 2
direct
0.095 0.625 0.970 Ba
0.375 0.345 0.470 Ba
0.655 0.125 0.030 Ba
0.875 0.905 0.530 Ba
0.250 0.750 0.500 V
0.500 0.500 0.000 V
0.000 0.000 0.000 Cl
0.750 0.250 0.500 Cl
```

Computed properties:
Magnetization = 5.57 μB/f.u.
Space group = I-42d, No. 122
Energy above the most stable polymorph in this dataset = 0.0 meV/atom
Uncorrected formation energy = -0.134 eV/atom

---

Entry 7:
A geometry-optimized Ba3VCl structure, computed with PBE.

Geometry as POSCAR:
```
Ba3VCl
1.0
6.067 0.000 0.000
0.000 6.067 0.000
0.000 0.000 6.067
Ba V Cl
3 1 1
direct
0.000 0.000 0.500 Ba
0.000 0.500 0.000 Ba
0.500 0.000 0.000 Ba
0.500 0.500 0.500 V
0.000 0.000 0.000 Cl
```

Computed properties:
Magnetization = 4.24 μB/f.u.
Space group = Pm-3m, No. 221
Energy above the most stable polymorph in this dataset = 0.0 meV/atom
Uncorrected formation energy = -0.079 eV/atom

---

Entry 8:
A geometry-optimized Ba2YVCl structure, computed with PBE.

Geometry as POSCAR:
```
Ba2YVCl
1.0
6.243 0.000 0.000
0.000 6.243 0.000
0.000 0.000 4.680
Ba Y V Cl
2 1 1 1
direct
0.000 0.500 0.000 Ba
0.500 0.000 0.000 Ba
0.000 0.000 0.500 Y
0.500 0.500 0.500 V
0.500 0.500 0.000 Cl
```

Computed properties:
Magnetization = 2.99 μB/f.u.
Space group = P4/mmm, No. 123
Uncorrected formation energy = 0.012 eV/atom

---

Entry 9:
A geometry-optimized BaWCl2 structure, computed with PBE.

Geometry as POSCAR:
```
BaWCl2
1.0
3.672 0.000 0.000
0.000 4.715 0.000
0.000 0.000 6.394
Ba W Cl
1 1 2
direct
0.000 0.000 0.000 Ba
0.500 0.000 0.500 W
0.000 0.500 0.500 Cl
0.500 0.500 0.000 Cl
```

Computed properties:
Magnetization = 3.61 μB/f.u.
Space group = Pmmm, No. 47
Energy above the most stable polymorph in this dataset = 297.8 meV/atom
Uncorrected formation energy = 0.098 eV/atom

---

Entry 10:
A geometry-optimized BaWCl2 structure, computed with PBE.

Geometry as POSCAR:
```
BaWCl2
1.0
0.000 3.892 3.892
3.892 0.000 3.892
3.892 3.892 0.000
Ba W Cl
1 1 2
direct
0.000 0.000 0.000 Ba
0.250 0.250 0.250 W
0.500 0.500 0.500 Cl
0.750 0.750 0.750 Cl
```

Computed properties:
Magnetization = 6.00 μB/f.u.
Space group = F-43m, No. 216
Energy above the most stable polymorph in this dataset = 520.8 meV/atom
Uncorrected formation energy = 0.321 eV/atom

---

Entry 11:
A geometry-optimized BaWCl2 structure, computed with PBE.

Geometry as POSCAR:
```
BaWCl2
1.0
-2.006 2.997 4.092
2.006 -2.997 4.092
2.006 2.997 -4.092
Ba W Cl
1 1 2
direct
0.000 0.000 0.000 Ba
0.500 0.500 0.000 W
0.326 0.826 0.500 Cl
0.674 0.174 0.500 Cl
```

Computed properties:
Magnetization = 0.00 μB/f.u.
Space group = Immm, No. 71
Energy above the most stable polymorph in this dataset = 54.9 meV/atom
Uncorrected formation energy = -0.145 eV/atom

---

Entry 12:
A geometry-optimized BaWCl2 structure, computed with PBE.

Geometry as POSCAR:
```
BaWCl2
1.0
5.166 0.000 0.000
0.000 5.166 0.000
0.000 0.000 4.203
Ba W Cl
1 1 2
direct
0.000 0.000 0.000 Ba
0.500 0.500 0.000 W
0.000 0.500 0.500 Cl
0.500 0.000 0.500 Cl
```

Computed properties:
Magnetization = 5.39 μB/f.u.
Space group = P4/mmm, No. 123
Energy above the most stable polymorph in this dataset = 364.5 meV/atom
Uncorrected formation energy = 0.165 eV/atom

---

Question: Which of these has the lowest magnetization?
Answer: number 11

---

Question: The lowest magnetization belongs to which entry?
Answer: number 11

---

Repeat the tenth record exactly.
A geometry-optimized BaWCl2 structure, computed with PBE.

Geometry as POSCAR:
```
BaWCl2
1.0
0.000 3.892 3.892
3.892 0.000 3.892
3.892 3.892 0.000
Ba W Cl
1 1 2
direct
0.000 0.000 0.000 Ba
0.250 0.250 0.250 W
0.500 0.500 0.500 Cl
0.750 0.750 0.750 Cl
```

Computed properties:
Magnetization = 6.00 μB/f.u.
Space group = F-43m, No. 216
Energy above the most stable polymorph in this dataset = 520.8 meV/atom
Uncorrected formation energy = 0.321 eV/atom